Arrangement P

Density functional theory data (GGA-PBE) for an optimized crystal structure of LuHfNi2.

a = 4.5756 Å, b = 4.5756 Å, c = 4.5756 Å
α = 60.00°, β = 60.00°, γ = 60.00°
Fractional coordinates of all 4 atoms:
Ni (0.2500, 0.2500, 0.2500)
Ni (0.7500, 0.7500, 0.7500)
Lu (0.0000, 0.0000, 0.0000)
Hf (0.5000, 0.5000, 0.5000)

Computed properties:
- DOS(E_F) (states/eV per cell) = 3.22
- spin magnetization (μB per cell) = 0.0
- symmetry = Fm-3m (225)

---

Arrangement Q

Density functional theory data (GGA-PBE) for an optimized crystal structure of LuHfNi2.

a = 3.2395 Å, b = 3.2395 Å, c = 6.5479 Å
α = 90.00°, β = 90.00°, γ = 90.00°
Fractional coordinates of all 4 atoms:
Ni (0.0000, 0.0000, 0.7816)
Ni (0.0000, 0.0000, 0.2184)
Lu (0.5000, 0.5000, 0.5000)
Hf (0.5000, 0.5000, 0.0000)

Computed properties:
- DOS(E_F) (states/eV per cell) = 4.15
- spin magnetization (μB per cell) = 0.0
- symmetry = P4/mmm (123)

---

Quick one: least stable of them? arrangement P

---

Arrangement P

Density functional theory data (GGA-PBE) for an optimized crystal structure of LuHfPd2.

a = 3.8979 Å, b = 3.8979 Å, c = 6.8962 Å
α = 73.58°, β = 73.58°, γ = 60.00°
Fractional coordinates of all 4 atoms:
Lu (0.5000, 0.5000, 0.5000)
Hf (0.0000, 0.0000, 0.0000)
Pd (0.7434, 0.7434, 0.7697)
Pd (0.2566, 0.2566, 0.2303)

Computed properties:
- DOS(E_F) (states/eV per cell) = 0.88
- spin magnetization (μB per cell) = 0.0
- symmetry = R-3m (166)

---

Arrangement Q

Density functional theory data (GGA-PBE) for an optimized crystal structure of LuHfPd2.

a = 3.3836 Å, b = 3.3836 Å, c = 6.8368 Å
α = 90.00°, β = 90.00°, γ = 90.00°
Fractional coordinates of all 4 atoms:
Lu (0.5000, 0.5000, 0.5000)
Hf (0.5000, 0.5000, 0.0000)
Pd (0.0000, 0.0000, 0.7759)
Pd (0.0000, 0.0000, 0.2241)

Computed properties:
- DOS(E_F) (states/eV per cell) = 3.37
- spin magnetization (μB per cell) = 0.0
- symmetry = P4/mmm (123)

---

Quick one: least stable of them? arrangement P

---

Arrangement P

Density functional theory data (GGA-PBE) for an optimized crystal structure of Pm2LuHf.

a = 4.8176 Å, b = 4.9163 Å, c = 4.9163 Å
α = 90.00°, β = 90.00°, γ = 90.00°
Fractional coordinates of all 4 atoms:
Lu (0.5000, 0.5000, 0.5000)
Hf (0.5000, 0.0000, 0.0000)
Pm (0.0000, 0.0000, 0.5000)
Pm (0.0000, 0.5000, 0.0000)

Computed properties:
- DOS(E_F) (states/eV per cell) = 5.22
- spin magnetization (μB per cell) = 0.0
- symmetry = P4/mmm (123)

---

Arrangement Q

Density functional theory data (GGA-PBE) for an optimized crystal structure of Pm2LuHf.

a = 4.0219 Å, b = 4.0219 Å, c = 7.2514 Å
α = 90.00°, β = 90.00°, γ = 90.00°
Fractional coordinates of all 4 atoms:
Lu (0.5000, 0.5000, 0.0000)
Hf (0.5000, 0.5000, 0.5000)
Pm (0.0000, 0.0000, 0.7274)
Pm (0.0000, 0.0000, 0.2726)

Computed properties:
- DOS(E_F) (states/eV per cell) = 4.36
- spin magnetization (μB per cell) = 0.0
- symmetry = P4/mmm (123)

---

Quick one: least stable of them? arrangement Q

---

Arrangement P

Density functional theory data (GGA-PBE) for an optimized crystal structure of LuPuHf.

a = 3.1636 Å, b = 5.2214 Å, c = 5.2214 Å
α = 120.00°, β = 90.00°, γ = 90.00°
Fractional coordinates of all 3 atoms:
Lu (0.6666, 0.6667, 0.3333)
Hf (0.1668, 0.0000, 0.0000)
Pu (0.1666, 0.3333, 0.6667)

Computed properties:
- DOS(E_F) (states/eV per cell) = 9.09
- spin magnetization (μB per cell) = 5.1
- symmetry = P-6m2 (187)

---

Arrangement Q

Density functional theory data (GGA-PBE) for an optimized crystal structure of LuPuHf.

a = 3.2840 Å, b = 3.2840 Å, c = 7.4732 Å
α = 102.69°, β = 102.69°, γ = 90.00°
Fractional coordinates of all 3 atoms:
Lu (0.0056, 0.0056, 0.0112)
Hf (0.6694, 0.6694, 0.3389)
Pu (0.3250, 0.3250, 0.6499)

Computed properties:
- DOS(E_F) (states/eV per cell) = 6.87
- spin magnetization (μB per cell) = 5.8
- symmetry = I4mm (107)

---

Quick one: least stable of them? arrangement P

---

Arrangement P

Density functional theory data (GGA-PBE) for an optimized crystal structure of LuPuHf2.

a = 3.7513 Å, b = 3.7513 Å, c = 6.9171 Å
α = 90.00°, β = 90.00°, γ = 90.00°
Fractional coordinates of all 4 atoms:
Lu (0.5000, 0.5000, 0.5000)
Hf (0.0000, 0.0000, 0.7799)
Hf (0.0000, 0.0000, 0.2201)
Pu (0.5000, 0.5000, 0.0000)

Computed properties:
- DOS(E_F) (states/eV per cell) = 7.84
- spin magnetization (μB per cell) = 5.3
- symmetry = P4/mmm (123)

---

Arrangement Q

Density functional theory data (GGA-PBE) for an optimized crystal structure of LuPuHf2.

a = 4.5986 Å, b = 4.5916 Å, c = 4.5916 Å
α = 90.00°, β = 90.00°, γ = 90.00°
Fractional coordinates of all 4 atoms:
Lu (0.5000, 0.0000, 0.0000)
Hf (0.0000, 0.0000, 0.5000)
Hf (0.0000, 0.5000, 0.0000)
Pu (0.5000, 0.5000, 0.5000)

Computed properties:
- DOS(E_F) (states/eV per cell) = 11.11
- spin magnetization (μB per cell) = 5.7
- symmetry = P4/mmm (123)

---

Quick one: least stable of them? arrangement P

---

Arrangement P

Density functional theory data (GGA-PBE) for an optimized crystal structure of Lu2HfSc.

a = 3.3118 Å, b = 3.3118 Å, c = 9.4864 Å
α = 90.00°, β = 90.00°, γ = 90.00°
Fractional coordinates of all 4 atoms:
Sc (0.5000, 0.5000, 0.0000)
Lu (0.0000, 0.0000, 0.7394)
Lu (0.0000, 0.0000, 0.2606)
Hf (0.5000, 0.5000, 0.5000)

Computed properties:
- DOS(E_F) (states/eV per cell) = 6.19
- spin magnetization (μB per cell) = 0.0
- symmetry = P4/mmm (123)

---

Arrangement Q

Density functional theory data (GGA-PBE) for an optimized crystal structure of Lu2HfSc.

a = 5.2908 Å, b = 5.2908 Å, c = 5.2908 Å
α = 60.00°, β = 60.00°, γ = 60.00°
Fractional coordinates of all 4 atoms:
Sc (0.0000, 0.0000, 0.0000)
Lu (0.2500, 0.2500, 0.2500)
Lu (0.7500, 0.7500, 0.7500)
Hf (0.5000, 0.5000, 0.5000)

Computed properties:
- DOS(E_F) (states/eV per cell) = 9.15
- spin magnetization (μB per cell) = 2.4
- symmetry = Fm-3m (225)

---

Quick one: least stable of them? arrangement Q